## Co2IrOs (meta-GGA SCAN)

Data for a PBEsol-optimized structure of Co2IrOs.

Values from the calculation:
VASP energy in eV per atom: -44.241
Mass density in g cm⁻³: 16.835
Energy of formation in eV per atom: 0.156
Distance to the lowest polymorph of the same formula in meV per atom: 44

abc: 2.624 2.624 8.416
angles: 81.03 81.03 60.00
Last column: magnetic moment on the atom in μB.
Sites, in units of the cell vectors:
Os 0.000 0.000 0.000  -0.04
Co 0.251 0.251 0.248  1.74
Ir 0.500 0.500 0.500  0.39
Co 0.749 0.749 0.752  1.74